Compound: Mn3Ni
Source: Alexandria via LeMat-Bulk
Functional: GGA-PBE
Structure: optimized geometry

Energy of formation in kJ/mol of atoms: 6.9
Size of the total moment in μB/atom: 0.07

Cell lengths 4.288, 8.063, 5.003 Å; angles 90.00, 90.00, 90.00 degrees
Space group Pnma (No. 62)
Unique sites:
1 Mn 0.091 0.250 0.122 (multiplicity 4)
2 Mn 0.245 0.004 0.368 (multiplicity 8)
3 Ni 0.087 0.250 0.624 (multiplicity 4)


Compound: Mn24Ni5
Source: Alexandria via LeMat-Bulk
Functional: GGA-PBE
Structure: optimized geometry

Energy of formation in kJ/mol of atoms: 1.9
Size of the total moment in μB/atom: 0.00

Cell lengths 8.582, 8.582, 8.582 Å; angles 90.00, 90.00, 90.00 degrees
Space group I-43m (No. 217)
Unique sites:
1 Mn 0.033 0.356 0.644 (multiplicity 24)
2 Mn 0.089 0.089 0.716 (multiplicity 24)
3 Ni 0.000 0.000 0.000 (multiplicity 2)
4 Ni 0.178 0.178 0.178 (multiplicity 8)


Compound: MnNi3
Source: Alexandria via LeMat-Bulk
Functional: GGA-PBE
Structure: optimized geometry

Energy of formation in kJ/mol of atoms: 159.0
Size of the total moment in μB/atom: 0.32

Cell lengths 4.255, 4.255, 4.255 Å; angles 90.00, 90.00, 90.00 degrees
Space group Pm-3m (No. 221)
Unique sites:
1 Mn 0.000 0.000 0.000 (multiplicity 1)
2 Ni 0.000 0.000 0.500 (multiplicity 3)


Compound: MnNi
Source: Alexandria via LeMat-Bulk
Functional: GGA-PBE
Structure: optimized geometry

Energy of formation in kJ/mol of atoms: 131.4
Size of the total moment in μB/atom: 2.18

Cell lengths 6.601, 6.601, 6.601 Å; angles 90.00, 90.00, 90.00 degrees
Space group Pm-3n (No. 223)
Unique sites:
1 Mn 0.000 0.250 0.500 (multiplicity 6)
2 Ni 0.000 0.500 0.250 (multiplicity 6)


Question: Among the records above, which one has the lowest energy of formation?
Answer: Mn24Ni5


Question: The lowest energy of formation belongs to which entry?
Answer: Mn24Ni5


What did the third record say?
Compound: MnNi3
Source: Alexandria via LeMat-Bulk
Functional: GGA-PBE
Structure: optimized geometry

Energy of formation in kJ/mol of atoms: 159.0
Size of the total moment in μB/atom: 0.32

Cell lengths 4.255, 4.255, 4.255 Å; angles 90.00, 90.00, 90.00 degrees
Space group Pm-3m (No. 221)
Unique sites:
1 Mn 0.000 0.000 0.000 (multiplicity 1)
2 Ni 0.000 0.000 0.500 (multiplicity 3)